The following is a DFT calculation (PBE) of crystalline BeNiW at its relaxed geometry.

a = 2.680 Å, b = 2.680 Å, c = 6.003 Å
α = 90.00°, β = 90.00°, γ = 120.00°
Positions (direct):
Ni 0.667 0.333 0.310
W 0.333 0.667 0.668
Be 0.000 0.000 0.022

Computed properties:
E_form	0.223	eV per atom
total moment	0.0	μB per formula unit
raw total energy	-7.26	eV/atom
polymorph energy (0 for the lowest one)	465.3	meV/atom

=====

The following is a DFT calculation (PBE) of crystalline SiTePtI at its relaxed geometry.

a = 3.716 Å, b = 3.717 Å, c = 9.421 Å
α = 94.98°, β = 96.18°, γ = 119.94°
Positions (direct):
I 0.604 0.819 0.397
Si 0.741 0.945 0.667
Te 0.905 0.098 0.988
Pt 0.467 0.334 0.783

Computed properties:
uncorrected formation energy	-218	meV per atom
total moment	0.0	μB per formula unit
raw total energy	-4.26	eV/atom
polymorph energy (0 for the lowest one)	91.3	meV/atom

=====

The following is a DFT calculation (PBE) of crystalline CaCu2Te at its relaxed geometry.

a = 5.946 Å, b = 5.946 Å, c = 5.946 Å
α = 42.89°, β = 42.89°, γ = 42.89°
Positions (direct):
Ca 0.750 0.750 0.750
Te 0.250 0.250 0.250
Cu 0.972 0.972 0.972
Cu 0.528 0.528 0.528

Computed properties:
uncorrected formation energy	-147	meV per atom
total moment	0.0	μB per formula unit
raw total energy	-3.48	eV/atom

=====

The following is a DFT calculation (PBE) of crystalline TlAsRu at its relaxed geometry.

a = 3.176 Å, b = 9.586 Å, c = 4.598 Å
α = 85.79°, β = 69.69°, γ = 90.14°
Positions (direct):
Ru 0.090 0.432 0.183
Ru 0.844 0.608 0.674
Tl 0.611 0.155 0.134
Tl 0.857 0.913 0.645
As 0.367 0.396 0.627
As 0.568 0.650 0.230

Computed properties:
E_form	-0.028	eV per atom
total moment	0.0	μB per formula unit
raw total energy	-5.46	eV/atom
polymorph energy (0 for the lowest one)	141.8	meV/atom

=====

The following is a DFT calculation (PBE) of crystalline YLuRh at its relaxed geometry.

a = 3.414 Å, b = 3.414 Å, c = 6.693 Å
α = 104.78°, β = 104.78°, γ = 90.00°
Positions (direct):
Y 0.301 0.301 0.603
Lu 0.037 0.037 0.074
Rh 0.662 0.662 0.323

Computed properties:
E_form	-0.595	eV per atom
total moment	0.0	μB per formula unit
raw total energy	-6.71	eV/atom
polymorph energy (0 for the lowest one)	18.2	meV/atom